## SrBe3In (GGA-PBE)

Data for a geometry-optimized SrBe3In structure.

Cell and atoms, written as extended XYZ:
```
5
Lattice="4.682 0.000 0.000 0.000 4.682 0.000 0.000 0.000 4.682" Properties=species:S:1:pos:R:3 pbc="T T T"
In 0.000 0.000 0.000
Be 0.000 2.341 0.000
Be 0.000 0.000 2.341
Be 2.341 0.000 0.000
Sr 2.341 2.341 2.341
```

Properties
Magnetization (μB per formula unit): 0.00
Energy of formation (eV per atom): 0.744
Distance to the lowest polymorph of the same formula (eV per formula unit): 0.00